# 1
HfAs2N: relaxed, PBE-GGA.

Properties
* raw formation energy: 0.359 eV/atom
* symmetry: I-42d (122)

POSCAR file:
```
HfAs2N
1.0
6.0481 0.0000 0.0000
0.0000 6.0481 0.0000
3.0240 3.0240 3.7534
As Hf N
4 2 2
Direct
0.5384 0.1250 0.2500
0.2116 0.6250 0.2500
0.3750 0.4616 0.7500
0.8750 0.7884 0.7500
0.0000 0.0000 0.0000
0.7500 0.2500 0.5000
0.5000 0.5000 0.0000
0.2500 0.7500 0.5000
```

# 2
GaCSe2I: relaxed, PBE-GGA.

Properties
* raw formation energy: 1.123 eV/atom
* symmetry: P4/mmm (123)

POSCAR file:
```
GaCSe2I
1.0
5.3610 0.0000 0.0000
0.0000 3.8445 0.0000
0.0000 0.0000 5.3610
I C Ga Se
1 1 1 2
Direct
0.5000 0.5000 0.5000
0.0000 0.5000 0.0000
0.0000 0.0000 0.0000
0.0000 0.0000 0.5000
0.5000 0.0000 0.0000
```

# 3
Li3B8C8: relaxed, PBE-GGA.

Properties
* relative energy among the computed polymorphs: 97 meV/atom
* formation energy from the elements: 103.1 meV/atom
* symmetry: Pm (6)

POSCAR file:
```
Li3B8C8
1.0
9.0146 -0.3384 0.0000
-3.6874 7.8013 0.0000
0.0000 0.0000 2.7154
C B Li
8 8 3
Direct
0.5118 0.7977 0.0000
0.4696 0.2094 0.0000
0.0324 0.2908 0.0000
0.9816 0.7082 0.0000
0.2934 0.5247 0.5000
0.1976 0.9957 0.5000
0.7849 0.0275 0.5000
0.7272 0.4498 0.5000
0.2779 0.0723 0.0000
0.6978 0.9430 0.0000
0.8103 0.5411 0.0000
0.2176 0.4419 0.0000
0.0591 0.8006 0.5000
0.4340 0.7202 0.5000
0.5529 0.2831 0.5000
0.9504 0.2062 0.5000
0.0295 0.5172 0.5000
0.9844 0.9911 0.0000
0.7378 0.2295 0.0000
```

What size of the total moment values result from the calculations? In sequence: 0.00, 1.20, 0.00 μB/f.u..
What Fermi-level density of states values result from the calculations? In sequence: 1.87, 4.45, 4.03 states/eV/f.u..